! TaTiH GGA-PBE optimized geometry; values from VASP
! * D(E_F): 1.22 states/eV per atom
! * polymorph energy (0 for the lowest one): 0 meV per atom
! * symmetry: Amm2, No. 38
&SYSTEM
  ibrav = 0, nat = 6, ntyp = 3
/
ATOMIC_SPECIES
Ta 180.95 Ta.upf
Ti 47.87 Ti.upf
H 1.01 H.upf
ATOMIC_POSITIONS crystal
Ta 0.4043 0.8324 0.1084
Ta 0.9043 0.3324 0.1085
Ti 0.1543 0.0649 0.6083
Ti 0.6541 0.5648 0.6087
H 0.1547 0.6364 0.6076
H 0.6537 0.1357 0.6096
CELL_PARAMETERS angstrom
-1.1801 2.5075 -2.3597
-3.3961 1.1184 2.8869
0.3226 4.8314 2.1655

---

! Zr2AsSe2 GGA-PBE optimized geometry; values from VASP
! * D(E_F): 0.61 states/eV per atom
! * symmetry: P4/mbm, No. 127
! * uncorrected formation energy: -1021 meV per atom
&SYSTEM
  ibrav = 0, nat = 10, ntyp = 3
/
ATOMIC_SPECIES
As 74.92 As.upf
Se 78.96 Se.upf
Zr 91.22 Zr.upf
ATOMIC_POSITIONS crystal
As 0.0000 0.0000 0.0000
As 0.5000 0.5000 0.0000
Se 0.1383 0.6383 0.5000
Se 0.6383 0.8617 0.5000
Se 0.8617 0.3617 0.5000
Se 0.3617 0.1383 0.5000
Zr 0.3456 0.8456 0.0000
Zr 0.8456 0.6544 0.0000
Zr 0.6544 0.1544 0.0000
Zr 0.1544 0.3456 0.0000
CELL_PARAMETERS angstrom
7.4887 0.0000 0.0000
0.0000 7.4887 0.0000
0.0000 0.0000 3.6060

---

! TlTeI4 GGA-PBE optimized geometry; values from VASP
! * D(E_F): 0.44 states/eV per atom
! * polymorph energy (0 for the lowest one): 10 meV per atom
! * symmetry: I-4m2, No. 119
! * uncorrected formation energy: -236 meV per atom
&SYSTEM
  ibrav = 0, nat = 6, ntyp = 3
/
ATOMIC_SPECIES
Tl 204.38 Tl.upf
Te 127.60 Te.upf
I 126.90 I.upf
ATOMIC_POSITIONS crystal
Tl 0.0000 0.0000 0.0000
Te 0.7500 0.2500 0.5000
I 0.9219 0.4219 0.8437
I 0.5781 0.0781 0.1563
I 0.7548 0.7548 0.5096
I 0.2452 0.2452 0.4904
CELL_PARAMETERS angstrom
5.9141 0.0000 -1.9433
-0.6385 5.8795 -1.9433
-0.1080 -0.1203 9.6421

---

! Pr2TlP2N6 GGA-PBE optimized geometry; values from VASP
! * D(E_F): 0.42 states/eV per atom
! * symmetry: P-1, No. 2
! * uncorrected formation energy: -499 meV per atom
&SYSTEM
  ibrav = 0, nat = 11, ntyp = 4
/
ATOMIC_SPECIES
Pr 140.91 Pr.upf
Tl 204.38 Tl.upf
P 30.97 P.upf
N 14.01 N.upf
ATOMIC_POSITIONS crystal
Pr 0.8216 0.3569 0.8039
Pr 0.1784 0.6431 0.1961
Tl 0.5000 0.0000 0.5000
P 0.1581 0.6847 0.7534
P 0.8419 0.3153 0.2466
N 0.3985 0.5964 0.8308
N 0.9931 0.4054 0.1702
N 0.0730 0.8546 0.6262
N 0.0069 0.5946 0.8298
N 0.9270 0.1454 0.3738
N 0.6015 0.4036 0.1692
CELL_PARAMETERS angstrom
6.6824 0.0019 0.0059
3.3366 5.6128 -0.1326
0.0028 -3.2561 5.8874

---

! BAsPdSe2 GGA-PBE optimized geometry; values from VASP
! * D(E_F): 0.68 states/eV per atom
! * polymorph energy (0 for the lowest one): 0 meV per atom
! * symmetry: P4/mmm, No. 123
! * uncorrected formation energy: 717 meV per atom
&SYSTEM
  ibrav = 0, nat = 5, ntyp = 4
/
ATOMIC_SPECIES
As 74.92 As.upf
B 10.81 B.upf
Se 78.96 Se.upf
Pd 106.42 Pd.upf
ATOMIC_POSITIONS crystal
As 0.0000 0.0000 0.5000
B 0.0000 0.0000 0.0000
Se 0.0000 0.5000 0.0000
Se 0.5000 0.0000 0.0000
Pd 0.5000 0.5000 0.5000
CELL_PARAMETERS angstrom
4.5397 0.0000 0.0000
0.0000 4.5397 0.0000
0.0000 0.0000 4.1924

---

! YMnCl2 GGA-PBE optimized geometry; values from VASP
! * D(E_F): 0.88 states/eV per atom
! * polymorph energy (0 for the lowest one): 433 meV per atom
! * symmetry: I-4m2, No. 119
! * uncorrected formation energy: -523 meV per atom
&SYSTEM
  ibrav = 0, nat = 4, ntyp = 3
/
ATOMIC_SPECIES
Y 88.91 Y.upf
Mn 54.94 Mn.upf
Cl 35.45 Cl.upf
ATOMIC_POSITIONS crystal
Y 0.2500 0.7500 0.5000
Mn 0.5000 0.5000 0.0000
Cl 0.0000 0.0000 0.0000
Cl 0.7500 0.2500 0.5000
CELL_PARAMETERS angstrom
6.3771 0.0101 0.0000
4.0298 4.9426 0.0000
-5.2035 -2.4763 2.7313